Record 1
{
  "formula": "CsKGe3",
  "functional": "PBE",
  "state": "optimized geometry",
  "cell": [[5.894, 0.000, 0.000], [0.000, 5.894, 0.000], [0.000, 0.000, 5.894]],
  "species": ["Cs", "K", "Ge", "Ge", "Ge"],
  "fractional_positions": [[0.000, 0.000, 0.000], [0.500, 0.500, 0.500], [0.000, 0.500, 0.500], [0.500, 0.000, 0.500], [0.500, 0.500, 0.000]],
  "magnetic_moment_mub_per_atom": 0.000,
  "formation_energy_ev_per_atom": 1.100,
  "polymorph_energy_mev_per_atom": 0.0
}

---

Record 2
{
  "formula": "Cs3KGe",
  "functional": "PBE",
  "state": "optimized geometry",
  "cell": [[8.143, 0.000, 0.000], [0.000, 8.143, 0.000], [0.000, 0.000, 8.143]],
  "species": ["Cs", "Cs", "Cs", "K", "Ge"],
  "fractional_positions": [[0.000, 0.000, 0.500], [0.000, 0.500, 0.000], [0.500, 0.000, 0.000], [0.000, 0.000, 0.000], [0.500, 0.500, 0.500]],
  "magnetic_moment_mub_per_atom": 0.401,
  "formation_energy_ev_per_atom": 0.611
}